1.
An optimized crystal structure of Ho5IrBr9, computed with PBE.

a = 12.948 Å, b = 12.948 Å, c = 24.772 Å
α = 105.15°, β = 105.15°, γ = 90.00°
Sites, in units of the cell vectors:
Br 0.884 0.415 0.437
Br 0.175 0.227 0.049
Ir 0.722 0.639 0.697
Br 0.460 0.404 0.188
Ho 0.128 0.888 0.808
Ho 0.584 0.935 0.066
Br 0.355 0.076 0.186
Ho 0.211 0.572 0.318
Br 0.942 0.970 0.557
Br 0.606 0.173 0.939
Br 0.519 0.686 0.183
Br 0.273 0.626 0.451
Br 0.831 0.610 0.186
Br 0.667 0.734 0.061
Ho 0.416 0.065 0.934
Br 0.110 0.855 0.686
Ho 0.860 0.973 0.810
Br 0.447 0.479 0.563
Br 0.336 0.003 0.817
Ho 0.928 0.393 0.182
Ho 0.527 0.550 0.690
Ho 0.085 0.430 0.079
Ho 0.680 0.420 0.808
Ho 0.930 0.494 0.579
Br 0.116 0.585 0.563
Br 0.230 0.784 0.186
Br 0.540 0.596 0.812
Br 0.822 0.675 0.549
Br 0.664 0.997 0.183
Br 0.956 0.902 0.186
Br 0.615 0.086 0.557
Ho 0.994 0.149 0.079
Br 0.814 0.836 0.317
Ir 0.025 0.442 0.303
Br 0.904 0.228 0.688
Br 0.284 0.456 0.686
Br 0.333 0.266 0.939
Br 0.414 0.558 0.943
Br 0.972 0.715 0.434
Ho 0.107 0.246 0.318
Ho 0.080 0.372 0.692
Ho 0.072 0.607 0.818
Ir 0.942 0.778 0.803
Ho 0.163 0.640 0.690
Ho 0.132 0.084 0.566
Br 0.481 0.314 0.817
Br 0.169 0.390 0.814
Br 0.126 0.678 0.951
Br 0.503 0.981 0.317
Br 0.470 0.115 0.057
Ir 0.139 0.475 0.197
Br 0.394 0.827 0.061
Ho 0.351 0.415 0.421
Br 0.728 0.283 0.188
Br 0.462 0.219 0.434
Ir 0.861 0.525 0.803
Br 0.530 0.885 0.943
Ho 0.050 0.663 0.190
Br 0.890 0.145 0.314
Br 0.085 0.947 0.063
Ho 0.837 0.360 0.310
Br 0.215 0.962 0.934
Ho 0.320 0.580 0.192
Ho 0.388 0.180 0.308
Br 0.021 0.384 0.937
Br 0.028 0.285 0.566
Ho 0.518 0.368 0.934
Ho 0.868 0.916 0.434
Br 0.178 0.325 0.451
Br 0.402 0.730 0.686
Br 0.217 0.040 0.312
Br 0.719 0.472 0.934
Ho 0.649 0.585 0.579
Br 0.586 0.442 0.057
Br 0.874 0.322 0.049
Br 0.497 0.019 0.683
Br 0.281 0.528 0.066
Br 0.058 0.030 0.443
Br 0.915 0.053 0.937
Ho 0.565 0.018 0.434
Ir 0.278 0.361 0.303
Br 0.716 0.544 0.314
Br 0.979 0.616 0.063
Ho 0.473 0.450 0.310
Br 0.385 0.914 0.443
Br 0.538 0.781 0.566
Ho 0.435 0.982 0.566
Br 0.785 0.038 0.066
Br 0.424 0.669 0.314
Ho 0.920 0.628 0.308
Ho 0.070 0.506 0.421
Ho 0.915 0.570 0.921
Br 0.044 0.098 0.814
Br 0.598 0.270 0.314
Br 0.576 0.331 0.686
Br 0.673 0.833 0.439
Br 0.770 0.216 0.814
Ho 0.872 0.112 0.192
Ho 0.006 0.851 0.921
Br 0.096 0.772 0.312
Ho 0.893 0.754 0.682
Br 0.783 0.960 0.688
Ho 0.746 0.711 0.818
Br 0.825 0.773 0.951
Br 0.272 0.717 0.812
Ho 0.254 0.289 0.182
Ho 0.140 0.027 0.190
Ho 0.482 0.632 0.066
Ir 0.058 0.222 0.197
Ho 0.789 0.428 0.682
Ho 0.612 0.820 0.692
Br 0.186 0.164 0.683
Br 0.727 0.374 0.549
Ir 0.975 0.558 0.697
Br 0.327 0.167 0.561
Br 0.645 0.924 0.814
Ho 0.950 0.337 0.810
Br 0.766 0.106 0.439
Br 0.234 0.894 0.561
Br 0.553 0.521 0.437

Results
ΔE_f (raw): -1668.9 meV per atom
crystal system: tetragonal
theoretical density: 5.98 g cm⁻³

2.
An optimized crystal structure of Ho2IrBr3, computed with PBE.

a = 4.011 Å, b = 9.217 Å, c = 10.259 Å
α = 80.47°, β = 78.73°, γ = 77.43°
Sites, in units of the cell vectors:
Ir 0.445 0.478 0.632
Ho 0.402 0.797 0.399
Ho 0.598 0.203 0.601
Br 0.215 0.164 0.406
Ho 0.121 0.576 0.181
Ho 0.879 0.424 0.819
Br 0.321 0.318 0.040
Br 0.050 0.102 0.797
Br 0.679 0.682 0.960
Br 0.950 0.898 0.203
Br 0.785 0.836 0.594
Ir 0.555 0.522 0.368

Results
ΔE_f (raw): -1315.5 meV per atom
crystal system: monoclinic
theoretical density: 7.03 g cm⁻³
Fermi-level density of states: 0.38 states/eV per cell